DFT (GGA-PBE) results for a relaxed Er6SbSe5 crystal.

Unit cell a=7.0730 b=12.2649 c=7.1163 alpha=90.00 beta=109.38 gamma=90.00
Space group C2/m (No. 12)
Unique sites:
Er 0.2407 0.1704 0.2367 [8 per cell]
Er 0.2432 0.0000 0.7580 [4 per cell]
Sb 0.0000 0.5000 0.5000 [2 per cell]
Se 0.0000 0.0000 0.0000 [2 per cell]
Se 0.0000 0.1680 0.5000 [4 per cell]
Se 0.0000 0.3380 0.0000 [4 per cell]

Summary:
volume	24.3	A^3/atom
formation energy (no corrections)	-1.593	eV per atom
E	-5.67	eV/atom

=====

DFT (GGA-PBE) results for a relaxed ErSb3Se6 crystal.

Unit cell a=10.2042 b=14.1613 c=4.0733 alpha=90.00 beta=90.00 gamma=90.00
Space group Cmmm (No. 65)
Unique sites:
Er 0.0000 0.0000 0.0000 [2 per cell]
Sb 0.0000 0.5000 0.0000 [2 per cell]
Sb 0.2500 0.2500 0.5000 [4 per cell]
Se 0.0000 0.1481 0.5000 [4 per cell]
Se 0.2228 0.3872 0.0000 [8 per cell]

Summary:
volume	29.4	A^3/atom
formation energy (no corrections)	-0.463	eV per atom
E	-4.25	eV/atom
energy above the lowest structure with this stoichiometry	0.1891	eV per atom

=====

Please write out number 2 again, unchanged.
DFT (GGA-PBE) results for a relaxed ErSb3Se6 crystal.

Unit cell a=10.2042 b=14.1613 c=4.0733 alpha=90.00 beta=90.00 gamma=90.00
Space group Cmmm (No. 65)
Unique sites:
Er 0.0000 0.0000 0.0000 [2 per cell]
Sb 0.0000 0.5000 0.0000 [2 per cell]
Sb 0.2500 0.2500 0.5000 [4 per cell]
Se 0.0000 0.1481 0.5000 [4 per cell]
Se 0.2228 0.3872 0.0000 [8 per cell]

Summary:
volume	29.4	A^3/atom
formation energy (no corrections)	-0.463	eV per atom
E	-4.25	eV/atom
energy above the lowest structure with this stoichiometry	0.1891	eV per atom

=====

- Among the records above, which one has the highest volume?
  ErSb3Se6

=====

- Look up the formation energy (no corrections) of the first one.
  -1.593 eV per atom

=====

Repeat the first record exactly.
DFT (GGA-PBE) results for a relaxed Er6SbSe5 crystal.

Unit cell a=7.0730 b=12.2649 c=7.1163 alpha=90.00 beta=109.38 gamma=90.00
Space group C2/m (No. 12)
Unique sites:
Er 0.2407 0.1704 0.2367 [8 per cell]
Er 0.2432 0.0000 0.7580 [4 per cell]
Sb 0.0000 0.5000 0.5000 [2 per cell]
Se 0.0000 0.0000 0.0000 [2 per cell]
Se 0.0000 0.1680 0.5000 [4 per cell]
Se 0.0000 0.3380 0.0000 [4 per cell]

Summary:
volume	24.3	A^3/atom
formation energy (no corrections)	-1.593	eV per atom
E	-5.67	eV/atom